No. 1
Na3Ga3RuO8 GGA-PBE relaxed; total magnetic moment = 2.00 Bohr magnetons per cell
1.0
3.033 1.751 5.471
-3.033 1.751 5.471
0.000 -3.502 5.471
Na Ga Ru O
3 3 1 8
Direct
0.000 0.500 0.500
0.500 0.000 0.500
0.500 0.500 0.000
0.000 0.000 0.500
0.000 0.500 0.000
0.500 0.000 0.000
0.500 0.500 0.500
0.232 0.232 0.232
0.233 0.729 0.729
0.271 0.271 0.767
0.271 0.767 0.271
0.729 0.233 0.729
0.729 0.729 0.233
0.767 0.271 0.271
0.768 0.768 0.768

=====

No. 2
La2Pm2Sm GGA-PBE relaxed; total magnetic moment = 0.00 Bohr magnetons per cell; energy above the most stable polymorph in this dataset = 0.00 eV/f.u.
1.0
4.911 -4.127 0.000
4.911 4.127 0.000
-3.793 0.000 8.707
La Pm Sm
4 4 2
Direct
0.051 0.718 0.852
0.282 0.949 0.648
0.718 0.051 0.352
0.949 0.282 0.148
0.274 0.397 0.523
0.397 0.274 0.023
0.603 0.726 0.977
0.726 0.603 0.477
0.220 0.780 0.250
0.780 0.220 0.750

=====

No. 3
ErTmOsRh GGA-PBE relaxed; total magnetic moment = 0.00 Bohr magnetons per cell
1.0
0.000 3.376 3.376
3.376 0.000 3.376
3.376 3.376 0.000
Er Tm Os Rh
1 1 1 1
Direct
0.000 0.000 0.000
0.500 0.500 0.500
0.250 0.250 0.250
0.750 0.750 0.750

=====

No. 4
MnWSe6 GGA-PBE relaxed; total magnetic moment = 3.07 Bohr magnetons per cell
1.0
6.034 0.000 0.000
2.970 5.435 0.000
2.969 0.974 5.450
Mn W Se
1 1 6
Direct
0.000 0.000 0.000
0.500 0.500 0.500
0.089 0.402 0.818
0.191 0.905 0.320
0.454 0.744 0.762
0.546 0.256 0.238
0.809 0.095 0.680
0.911 0.598 0.182

=====

Looking at uncorrected energy for the records above, in order, we have -86.3 -47.1 -29.9 -44.1 eV/cell.